Entry 1:
Crystalline ReTe3O at its relaxed geometry, computed with PBE.

Computed properties:
- ΔE_f (raw) (eV per atom) = 1.0754

Unit cell a=5.1643 b=5.1643 c=5.1643 alpha=90.00 beta=90.00 gamma=90.00
Last column: nearest neighbours and their distance in Å.
Space group Pm-3m (No. 221)
One atom of each set of equivalent atoms:
1 Re 0.0000 0.0000 0.0000 [1 per cell]  6 Te 2.58
2 Te 0.0000 0.0000 0.5000 [3 per cell]  2 Re 2.58
3 O 0.5000 0.5000 0.5000 [1 per cell]  12 Te 3.65

Entry 2:
Crystalline MgTa3Pb at its relaxed geometry, computed with PBE.

Computed properties:
- energy of formation (eV per atom) = 1.752

Unit cell a=4.7912 b=4.7912 c=4.7912 alpha=90.00 beta=90.00 gamma=90.00
Last column: nearest neighbours and their distance in Å.
Space group Pm-3m (No. 221)
One atom of each set of equivalent atoms:
1 Mg 0.0000 0.0000 0.0000 [1 per cell]  6 Ta 2.40
2 Ta 0.0000 0.0000 0.5000 [3 per cell]  2 Mg 2.40
3 Pb 0.5000 0.5000 0.5000 [1 per cell]  12 Ta 3.39

Entry 3:
Crystalline CrCuTc2 at its relaxed geometry, computed with PBE.

Computed properties:
- energy of formation (eV per atom) = 0.284

Unit cell a=5.2705 b=8.2719 c=2.5542 alpha=90.00 beta=105.67 gamma=90.00
Last column: nearest neighbours and their distance in Å.
Space group C2/m (No. 12)
One atom of each set of equivalent atoms:
1 Cr 0.0000 0.0000 0.0000 [2 per cell]  2 Cr 2.55, 4 Tc 2.60, 2 Cu 2.64
2 Cu 0.0000 0.5000 0.0000 [2 per cell]  2 Cu 2.55, 4 Tc 2.60, 2 Cr 2.64
3 Tc 0.2500 0.2500 0.5000 [4 per cell]  4 Tc 2.55-2.64, 2 Cr 2.60, 2 Cu 2.60

Entry 4:
Crystalline AlFe2Si at its relaxed geometry, computed with PBE.

Computed properties:
- ΔE_f (raw) (eV per atom) = -0.2849

Unit cell a=2.8437 b=3.8651 c=8.4077 alpha=90.00 beta=90.00 gamma=90.00
Last column: nearest neighbours and their distance in Å.
Space group Imm2 (No. 44)
One atom of each set of equivalent atoms:
1 Al 0.0000 0.0000 0.0000 [2 per cell]  6 Fe 2.40-2.56
2 Fe 0.0000 0.0000 0.5017 [2 per cell]  2 Si 2.36, 4 Al 2.40, 2 Fe 2.52
3 Fe 0.0000 0.5000 0.7536 [2 per cell]  4 Si 2.41, 2 Fe 2.52, 2 Al 2.56
4 Si 0.0000 0.5000 0.2260 [2 per cell]  6 Fe 2.36-2.41

Entry 5:
Crystalline Ca2SnSb3 at its relaxed geometry, computed with PBE.

Computed properties:
- ΔE_f (raw) (eV per atom) = -0.4593

Unit cell a=3.6917 b=6.4001 c=15.6180 alpha=90.00 beta=90.00 gamma=90.00
Last column: nearest neighbours and their distance in Å.
Space group Immm (No. 71)
One atom of each set of equivalent atoms:
1 Ca 0.0000 0.0000 0.1699 [4 per cell]  6 Sb 3.21-3.27
2 Sn 0.0000 0.0000 0.5000 [2 per cell]  6 Sb 3.08-3.20
3 Sb 0.0000 0.5000 0.1576 [4 per cell]  2 Sn 3.08, 4 Ca 3.21-3.27
4 Sb 0.0000 0.5000 0.5000 [2 per cell]  2 Sn 3.20, 4 Ca 3.23

Entry 6:
Crystalline IrW at its relaxed geometry, computed with PBE.

Computed properties:
- energy of formation (eV per atom) = -0.150

Unit cell a=5.5566 b=5.5722 c=7.8890 alpha=90.00 beta=90.00 gamma=90.00
Last column: nearest neighbours and their distance in Å.
Space group Fddd (No. 70, origin choice 2)
One atom of each set of equivalent atoms:
1 Ir 0.1250 0.1250 0.1250 [8 per cell]  8 W 2.78-2.79, 4 Ir 2.79
2 W 0.1250 0.1250 0.6250 [8 per cell]  8 Ir 2.78-2.79, 4 W 2.79

Entry 7:
Crystalline AcErPu2Se4 at its relaxed geometry, computed with PBE.

Computed properties:
- ΔE_f (raw) (eV per atom) = -1.6268

Unit cell a=7.2210 b=4.1910 c=7.3989 alpha=90.00 beta=109.32 gamma=90.00
Last column: nearest neighbours and their distance in Å.
Space group P2/m (No. 10)
One atom of each set of equivalent atoms:
1 Ac 0.0000 0.0000 0.0000 [1 per cell]  6 Se 3.07
2 Er 0.0000 0.5000 0.5000 [1 per cell]  6 Se 2.93
3 Pu 0.5000 0.0000 0.5000 [1 per cell]  6 Se 2.89-2.90
4 Pu 0.5000 0.5000 0.0000 [1 per cell]  6 Se 3.02-3.04
5 Se 0.2498 0.0000 0.7362 [2 per cell]  3 Pu 2.90-3.02, 2 Er 2.93, 1 Ac 3.07
6 Se 0.2607 0.5000 0.2696 [2 per cell]  3 Pu 2.89-3.04, 1 Er 2.93, 2 Ac 3.07

Entry 8:
Crystalline Mn2TlIr at its relaxed geometry, computed with PBE.

Computed properties:
- energy of formation (eV per atom) = 0.292

Unit cell a=3.0074 b=4.5451 c=4.7880 alpha=90.00 beta=90.00 gamma=90.00
Last column: nearest neighbours and their distance in Å.
Space group Pmm2 (No. 25)
One atom of each set of equivalent atoms:
1 Mn 0.0000 0.0000 0.0000 [1 per cell]  4 Ir 2.69-2.97, 4 Tl 2.82, 4 Mn 2.86-3.01
2 Mn 0.0000 0.5000 0.3625 [1 per cell]  4 Ir 2.77, 4 Tl 2.77-2.88, 4 Mn 2.86-3.01
3 Tl 0.5000 0.5000 0.8486 [1 per cell]  8 Mn 2.77-2.88, 2 Ir 2.92, 2 Tl 3.01
4 Ir 0.5000 0.0000 0.4659 [1 per cell]  8 Mn 2.69-2.97, 2 Tl 2.92, 2 Ir 3.01

Entry 9:
Crystalline Li2GaPd2 at its relaxed geometry, computed with PBE.

Computed properties:
- energy of formation (eV per atom) = -0.391

Unit cell a=5.0266 b=11.8281 c=5.0975 alpha=90.00 beta=90.00 gamma=90.00
Last column: nearest neighbours and their distance in Å.
Space group Ibam (No. 72)
One atom of each set of equivalent atoms:
1 Li 0.1170 0.1110 0.0000 [8 per cell]  3 Pd 2.51-2.75, 2 Ga 2.66, 2 Li 2.81
2 Ga 0.0000 0.5000 0.2500 [4 per cell]  2 Ga 2.55, 4 Pd 2.55, 4 Li 2.66
3 Pd 0.1408 0.3230 0.0000 [8 per cell]  3 Li 2.51-2.75, 2 Ga 2.55

Entry 10:
Crystalline MgVPt at its relaxed geometry, computed with PBE.

Computed properties:
- energy of formation (eV per atom) = -0.237

Unit cell a=3.2664 b=3.2664 c=9.2522 alpha=90.00 beta=90.00 gamma=90.00
Last column: nearest neighbours and their distance in Å.
Space group I4mm (No. 107)
One atom of each set of equivalent atoms:
1 Mg 0.0000 0.0000 0.0000 [2 per cell]  5 Pt 2.81-3.03, 5 V 2.86-2.91
2 V 0.0000 0.0000 0.6907 [2 per cell]  4 Pt 2.64, 5 Mg 2.86-2.91
3 Pt 0.0000 0.0000 0.3280 [2 per cell]  4 V 2.64, 4 Mg 2.81

Entry 11:
Crystalline B2C at its relaxed geometry, computed with PBE.

Computed properties:
- energy of formation (eV per atom) = 0.185

Unit cell a=2.7139 b=2.7139 c=8.4072 alpha=90.00 beta=90.00 gamma=120.00
Last column: nearest neighbours and their distance in Å.
Space group P-3m1 (No. 164)
One atom of each set of equivalent atoms:
1 B 0.0000 0.0000 0.2401 [2 per cell]  3 C 1.57
2 B 0.3333 0.6667 0.4403 [2 per cell]  1 C 1.57
3 C 0.3333 0.6667 0.2539 [2 per cell]  4 B 1.57

Entry 12:
Crystalline Ca3Ac6Pm2 at its relaxed geometry, computed with PBE.

Computed properties:
- energy of formation (eV per atom) = 0.031

Unit cell a=3.9050 b=3.9050 c=104.9305 alpha=90.00 beta=90.00 gamma=120.00
Last column: nearest neighbours and their distance in Å.
Space group R-3m (No. 166, hexagonal axes)
One atom of each set of equivalent atoms:
1 Ca 0.0000 0.0000 0.0000 [3 per cell]  6 Ca 3.91, 6 Ac 3.95
2 Ca 0.0000 0.0000 0.2718 [6 per cell]  6 Ca 3.91, 6 Ac 3.93-3.98
3 Ac 0.0000 0.0000 0.0928 [6 per cell]  3 Pm 3.76, 6 Ac 3.91, 3 Ca 3.98
4 Ac 0.0000 0.0000 0.1824 [6 per cell]  3 Pm 3.83, 9 Ac 3.91-3.99
5 Ac 0.0000 0.0000 0.3642 [6 per cell]  6 Ac 3.91, 6 Ca 3.93-3.95
6 Pm 0.0000 0.0000 0.4548 [6 per cell]  6 Ac 3.76-3.83, 6 Pm 3.91

| no. | VASP energy (eV per atom) |
| --- | --- |
| 1 | -4.291 |
| 2 | -6.420 |
| 3 | -8.329 |
| 4 | -6.808 |
| 5 | -3.855 |
| 6 | -11.057 |
| 7 | -8.036 |
| 8 | -7.100 |
| 9 | -3.839 |
| 10 | -5.821 |
| 11 | -7.341 |
| 12 | -3.620 |